Entry from Alexandria via LeMat-Bulk: crystalline NiSnPb2 at its relaxed geometry (GGA-PBE).

Raw total energy in eV for the cell shown: -16.5
Space-group type: R-3m, No. 166
Magnetization in μB per formula unit: 0.00
Calculated volume in A^3/atom: 26.12
ΔH_f (0 K) in kJ/mol of formula units: 69

abc: 10.0628 10.0628 10.0628
angles: 20.02 20.02 20.02
Fractional coordinates of all 4 atoms:
Ni: 0.0000 0.0000 0.0000
Sn: 0.5000 0.5000 0.5000
Pb: 0.3940 0.3940 0.3940
Pb: 0.6060 0.6060 0.6060